No. 1
A geometry-optimized BaZnSn2 structure, computed with GGA-PBE.

Unit cell a=4.8007 b=4.8007 c=6.4728 alpha=111.68 beta=111.68 gamma=90.19
Fractional positions:
Ba (0.0000, 0.0000, 0.0000)
Zn (0.2494, 0.7506, 0.5000)
Sn (0.3686, 0.3676, 0.7352)
Sn (0.6324, 0.6314, 0.2648)

Output
The value obtained for the spin magnetization is 0.00 μB per cell. The value obtained for the formation energy is -0.3236 eV/atom. As for the density of states at the Fermi level: 3.76 states/eV/cell. The space-group type is C2. The calculated volume comes out at 127 Å³/f.u.



No. 2
A geometry-optimized BaZnSn3 structure, computed with GGA-PBE.

Unit cell a=5.4030 b=5.4030 c=5.4030 alpha=90.00 beta=90.00 gamma=90.00
Fractional positions:
Ba (0.0000, 0.0000, 0.0000)
Zn (0.5000, 0.5000, 0.5000)
Sn (0.0000, 0.5000, 0.5000)
Sn (0.5000, 0.0000, 0.5000)
Sn (0.5000, 0.5000, 0.0000)

Output
The value obtained for the spin magnetization is 0.00 μB per cell. The value obtained for the formation energy is -0.1164 eV/atom. As for the density of states at the Fermi level: 3.39 states/eV/cell. The space-group type is Pm-3m. The calculated volume comes out at 158 Å³/f.u.



No. 3
A geometry-optimized Ba2ZnSn3 structure, computed with GGA-PBE.

Unit cell a=9.7765 b=9.6119 c=7.0133 alpha=70.05 beta=67.55 gamma=42.40
Fractional positions:
Ba (0.2374, 0.7626, 0.2374)
Ba (0.2500, 0.2500, 0.2500)
Ba (0.7500, 0.7500, 0.7500)
Ba (0.7626, 0.2374, 0.7626)
Zn (0.3316, 0.3316, 0.6684)
Zn (0.6684, 0.6684, 0.3316)
Sn (0.1725, 0.1725, 0.8275)
Sn (0.1788, 0.6480, 0.8212)
Sn (0.3520, 0.8212, 0.6480)
Sn (0.6480, 0.1788, 0.3520)
Sn (0.8212, 0.3520, 0.1788)
Sn (0.8275, 0.8275, 0.1725)

Output
The value obtained for the spin magnetization is 0.00 μB per cell. The value obtained for the formation energy is -0.5373 eV/atom. As for the density of states at the Fermi level: 5.37 states/eV/cell. The space-group type is Fmmm. The calculated volume comes out at 204 Å³/f.u.



No. 4
A geometry-optimized Ba2ZnSn7 structure, computed with GGA-PBE.

Unit cell a=5.0993 b=5.0993 c=12.5065 alpha=90.00 beta=90.00 gamma=90.00
Fractional positions:
Ba (0.0000, 0.5000, 0.2407)
Ba (0.5000, 0.0000, 0.7593)
Zn (0.5000, 0.5000, 0.0000)
Sn (0.0000, 0.0000, 0.0000)
Sn (0.0000, 0.0000, 0.5000)
Sn (0.0000, 0.5000, 0.6396)
Sn (0.0000, 0.5000, 0.8803)
Sn (0.5000, 0.0000, 0.1197)
Sn (0.5000, 0.0000, 0.3604)
Sn (0.5000, 0.5000, 0.5000)

Output
The value obtained for the spin magnetization is 0.00 μB per cell. The value obtained for the formation energy is -0.2903 eV/atom. As for the density of states at the Fermi level: 4.55 states/eV/cell. The space-group type is P-4m2. The calculated volume comes out at 325 Å³/f.u.



No. 5
A geometry-optimized Ba3Zn2Sn7 structure, computed with GGA-PBE.

Unit cell a=4.8498 b=4.9887 c=15.2167 alpha=90.00 beta=99.01 gamma=90.00
Fractional positions:
Ba (0.0000, 0.0000, 0.0000)
Ba (0.3182, 0.5000, 0.6347)
Ba (0.6818, 0.5000, 0.3653)
Zn (0.1324, 0.0000, 0.2673)
Zn (0.8676, 0.0000, 0.7327)
Sn (0.0835, 0.5000, 0.1719)
Sn (0.2237, 0.0000, 0.4470)
Sn (0.4142, 0.0000, 0.8279)
Sn (0.5000, 0.5000, 0.0000)
Sn (0.5858, 0.0000, 0.1721)
Sn (0.7763, 0.0000, 0.5530)
Sn (0.9165, 0.5000, 0.8281)

Output
The value obtained for the spin magnetization is 0.00 μB per cell. The value obtained for the formation energy is -0.4082 eV/atom. As for the density of states at the Fermi level: 4.55 states/eV/cell. The space-group type is P2/m. The calculated volume comes out at 364 Å³/f.u.



No. 6
A geometry-optimized BaZn2Sn2 structure, computed with GGA-PBE.

Unit cell a=8.7295 b=8.7295 c=3.4396 alpha=90.00 beta=90.00 gamma=90.00
Fractional positions:
Ba (0.0000, 0.0000, 0.0000)
Ba (0.5000, 0.5000, 0.0000)
Zn (0.1562, 0.3438, 0.5000)
Zn (0.3438, 0.8438, 0.5000)
Zn (0.6562, 0.1562, 0.5000)
Zn (0.8438, 0.6562, 0.5000)
Sn (0.1308, 0.6308, 0.0000)
Sn (0.3692, 0.1308, 0.0000)
Sn (0.6308, 0.8692, 0.0000)
Sn (0.8692, 0.3692, 0.0000)

Output
The value obtained for the spin magnetization is 0.00 μB per cell. The value obtained for the formation energy is -0.0703 eV/atom. As for the density of states at the Fermi level: 5.00 states/eV/cell. The space-group type is P4/mbm. The calculated volume comes out at 131 Å³/f.u.



No. 7
A geometry-optimized BaZrSn3 structure, computed with GGA-PBE.

Unit cell a=5.8657 b=5.8657 c=5.8657 alpha=90.00 beta=90.00 gamma=90.00
Fractional positions:
Ba (0.0000, 0.0000, 0.0000)
Zr (0.5000, 0.5000, 0.5000)
Sn (0.0000, 0.0000, 0.5000)
Sn (0.0000, 0.5000, 0.0000)
Sn (0.5000, 0.0000, 0.0000)

Output
The value obtained for the spin magnetization is 0.00 μB per cell. The value obtained for the formation energy is 1.3718 eV/atom. As for the density of states at the Fermi level: 5.26 states/eV/cell. The space-group type is Pm-3m. The calculated volume comes out at 202 Å³/f.u.



No. 8
A geometry-optimized BaZrSn2 structure, computed with GGA-PBE.

Unit cell a=3.9396 b=3.9396 c=7.5332 alpha=90.00 beta=90.00 gamma=90.00
Fractional positions:
Ba (0.0000, 0.0000, 0.0000)
Zr (0.0000, 0.0000, 0.5000)
Sn (0.5000, 0.5000, 0.3068)
Sn (0.5000, 0.5000, 0.6932)

Output
The value obtained for the spin magnetization is 0.57 μB per cell. The value obtained for the formation energy is -0.4269 eV/atom. As for the density of states at the Fermi level: 2.67 states/eV/cell. The space-group type is P4/mmm. The calculated volume comes out at 117 Å³/f.u.



No. 9
A geometry-optimized BaZrSn2 structure, computed with GGA-PBE.

Unit cell a=10.3862 b=10.3862 c=10.3862 alpha=147.25 beta=147.25 gamma=46.99
Fractional positions:
Ba (0.0000, 0.0000, 0.0000)
Ba (0.7500, 0.2500, 0.5000)
Zr (0.2500, 0.7500, 0.5000)
Zr (0.5000, 0.5000, 0.0000)
Sn (0.2879, 0.6250, 0.1629)
Sn (0.3750, 0.5379, 0.6629)
Sn (0.4621, 0.1250, 0.8371)
Sn (0.8750, 0.7121, 0.3371)

Output
The value obtained for the spin magnetization is 1.03 μB per cell. The value obtained for the formation energy is -0.0276 eV/atom. As for the density of states at the Fermi level: 6.97 states/eV/cell. The space-group type is I-42d. The calculated volume comes out at 163 Å³/f.u.



No. 10
A geometry-optimized Ba3ZrSn structure, computed with GGA-PBE.

Unit cell a=6.1401 b=6.1401 c=6.1401 alpha=90.00 beta=90.00 gamma=90.00
Fractional positions:
Ba (0.0000, 0.0000, 0.5000)
Ba (0.0000, 0.5000, 0.0000)
Ba (0.5000, 0.0000, 0.0000)
Zr (0.0000, 0.0000, 0.0000)
Sn (0.5000, 0.5000, 0.5000)

Output
The value obtained for the spin magnetization is 0.00 μB per cell. The value obtained for the formation energy is 0.6125 eV/atom. As for the density of states at the Fermi level: 9.62 states/eV/cell. The space-group type is Pm-3m. The calculated volume comes out at 231 Å³/f.u.



No. 11
A geometry-optimized BaZr3Sn structure, computed with GGA-PBE.

Unit cell a=5.2780 b=5.2780 c=5.2780 alpha=90.00 beta=90.00 gamma=90.00
Fractional positions:
Ba (0.0000, 0.0000, 0.0000)
Zr (0.0000, 0.0000, 0.5000)
Zr (0.0000, 0.5000, 0.0000)
Zr (0.5000, 0.0000, 0.0000)
Sn (0.5000, 0.5000, 0.5000)

Output
The value obtained for the spin magnetization is 0.00 μB per cell. The value obtained for the formation energy is 1.5872 eV/atom. As for the density of states at the Fermi level: 11.86 states/eV/cell. The space-group type is Pm-3m. The calculated volume comes out at 147 Å³/f.u.



No. 12
A geometry-optimized BaZr2Sn structure, computed with GGA-PBE.

Unit cell a=6.9737 b=6.9737 c=6.9737 alpha=102.58 beta=102.58 gamma=124.37
Fractional positions:
Ba (0.0000, 0.0000, 0.0000)
Ba (0.7500, 0.2500, 0.5000)
Zr (0.1722, 0.6250, 0.0472)
Zr (0.3750, 0.4222, 0.5472)
Zr (0.5778, 0.1250, 0.9528)
Zr (0.8750, 0.8278, 0.4528)
Sn (0.2500, 0.7500, 0.5000)
Sn (0.5000, 0.5000, 0.0000)

Output
The value obtained for the spin magnetization is 0.00 μB per cell. The value obtained for the formation energy is 0.4909 eV/atom. As for the density of states at the Fermi level: 9.75 states/eV/cell. The space-group type is I-42d. The calculated volume comes out at 124 Å³/f.u.